Entry 1:
# HfRuW3

A relaxed structure of HfRuW3 (PBE, the Alexandria database).

## Properties
- space-group type = Pm-3m, No. 221
- DFT formation energy (eV/atom) = 1.54

a b c (Å): 4.695 4.695 4.695
angles (deg): 90.00 90.00 90.00
Fractional coordinates of all 5 atoms:
Hf 0.000 0.000 0.000
Ru 0.500 0.500 0.500
W 0.000 0.500 0.500
W 0.500 0.000 0.500
W 0.500 0.500 0.000

Entry 2:
# Tb7Mg4Sc

A relaxed structure of Tb7Mg4Sc (PBE, the Alexandria database).

## Properties
- space-group type = C2/m, No. 12
- DFT formation energy (eV/atom) = 0.16

a b c (Å): 8.044 8.044 9.611
angles (deg): 119.26 119.26 41.29
Fractional coordinates of all 12 atoms:
Tb 0.000 0.000 0.000
Tb 0.255 0.255 0.719
Tb 0.302 0.302 0.122
Tb 0.419 0.419 0.574
Tb 0.581 0.581 0.426
Tb 0.698 0.698 0.878
Tb 0.745 0.745 0.281
Mg 0.043 0.043 0.696
Mg 0.174 0.174 0.349
Mg 0.826 0.826 0.651
Mg 0.957 0.957 0.304
Sc 0.500 0.500 0.000

Entry 3:
# BeTcMoIr

A relaxed structure of BeTcMoIr (PBE, the Alexandria database).

## Properties
- space-group type = F-43m, No. 216
- DFT formation energy (eV/atom) = -0.15

a b c (Å): 4.264 4.264 4.264
angles (deg): 60.00 60.00 60.00
Fractional coordinates of all 4 atoms:
Be 0.000 0.000 0.000
Tc 0.250 0.250 0.250
Mo 0.500 0.500 0.500
Ir 0.750 0.750 0.750

Entry 4:
# TaCrSiRu

A relaxed structure of TaCrSiRu (PBE, the Alexandria database).

## Properties
- space-group type = F-43m, No. 216
- E_form (uncorrected) (eV/atom) = -0.345

a b c (Å): 4.286 4.286 4.286
angles (deg): 60.00 60.00 60.00
Fractional coordinates of all 4 atoms:
Ta 0.000 0.000 0.000
Cr 0.750 0.750 0.750
Si 0.500 0.500 0.500
Ru 0.250 0.250 0.250

Entry 5:
# Ca2ClOF

A relaxed structure of Ca2ClOF (PBE, the Alexandria database).

## Properties
- space-group type = C2/m, No. 12
- E_form (uncorrected) (eV/atom) = -3.049

a b c (Å): 6.935 6.935 9.577
angles (deg): 127.33 127.33 32.60
Fractional coordinates of all 10 atoms:
Ca 0.069 0.069 0.311
Ca 0.317 0.317 0.937
Ca 0.683 0.683 0.063
Ca 0.931 0.931 0.689
Cl 0.328 0.328 0.404
Cl 0.672 0.672 0.596
O 0.134 0.134 0.911
O 0.866 0.866 0.089
F 0.426 0.426 0.812
F 0.574 0.574 0.188

Entry 6:
# Na3Sb4Au2

A relaxed structure of Na3Sb4Au2 (PBE, the Alexandria database).

## Properties
- space-group type = C2/m, No. 12
- E_form (uncorrected) (eV/atom) = -0.285

a b c (Å): 6.405 6.405 8.742
angles (deg): 94.56 94.56 42.09
Fractional coordinates of all 9 atoms:
Na 0.000 0.000 0.000
Na 0.386 0.386 0.290
Na 0.614 0.614 0.710
Sb 0.081 0.081 0.382
Sb 0.302 0.302 0.919
Sb 0.698 0.698 0.081
Sb 0.919 0.919 0.618
Au 0.279 0.279 0.597
Au 0.721 0.721 0.403

Entry 7:
# Sr2WSe

A relaxed structure of Sr2WSe (PBE, the Alexandria database).

## Properties
- space-group type = P4/mmm, No. 123
- E_form (uncorrected) (eV/atom) = 0.202

a b c (Å): 3.831 3.831 7.737
angles (deg): 90.00 90.00 90.00
Fractional coordinates of all 4 atoms:
Sr 0.000 0.000 0.234
Sr 0.000 0.000 0.766
W 0.500 0.500 0.500
Se 0.500 0.500 0.000

Entry 8:
# Mn2In2Re

A relaxed structure of Mn2In2Re (PBE, the Alexandria database).

## Properties
- space-group type = I4/mmm, No. 139
- DFT formation energy (eV/atom) = 0.99

a b c (Å): 5.026 5.026 5.026
angles (deg): 118.44 118.44 92.72
Fractional coordinates of all 5 atoms:
Mn 0.159 0.159 0.000
Mn 0.841 0.841 0.000
In 0.250 0.750 0.500
In 0.750 0.250 0.500
Re 0.500 0.500 0.000